MgPd4Pt4 (PBE, optimized geometry); theoretical density = 14.7 g/cm³
1.0
-4.228 4.228 1.948
4.228 -4.228 1.948
4.228 4.228 -1.948
Mg Pd Pt
1 4 4
direct
0.000 0.000 0.000
0.334 0.334 0.669
0.334 0.666 0.000
0.666 0.334 0.000
0.666 0.666 0.331
0.000 0.332 0.332
0.000 0.668 0.668
0.332 0.000 0.332
0.668 0.000 0.668

---

Mg3PdPt2 (PBE, optimized geometry); theoretical density = 9.9 g/cm³
1.0
3.013 0.000 0.000
0.000 3.013 0.000
0.000 0.000 10.500
Mg Pd Pt
3 1 2
direct
0.000 0.000 0.000
0.000 0.000 0.333
0.000 0.000 0.667
0.500 0.500 0.500
0.500 0.500 0.167
0.500 0.500 0.833

---

Values of ΔE_f, in order: -0.272; -0.833, all in eV/atom.